A plane-wave DFT calculation with GGA-PBE was carried out for a geometry-optimized SmCdBi2 structure.

Lattice parameters (Å, degrees): 4.605 4.605 7.522 72.18 72.18 60.00
Fractional coordinates of all 4 atoms:
Cd 0.000 0.000 0.000
Bi 0.254 0.254 0.237
Bi 0.746 0.746 0.763
Sm 0.500 0.500 0.500

Results
The formation energy is -0.231 eV per atom. The value obtained for the volume is 129.2 Å³ per cell. The symmetry is R-3m, No. 166.